[1]
This record from the Alexandria database describes a relaxed InSNO2 crystal. The functional is PBE-GGA.

Properties
- E: -23.7 eV/cell
- Formation energy (no corrections): 0.289 eV/atom

Geometry as CIF:
```
data_InSNO2
_chemical_formula_sum 'In1 S1 N1 O2'
_space_group_name_H-M_alt 'P 4/m m m'
_space_group_IT_number 123
_space_group_name_Hall '-P 4 2'
_cell_length_a 3.612
_cell_length_b 3.612
_cell_length_c 4.231
_cell_angle_alpha 90.00
_cell_angle_beta 90.00
_cell_angle_gamma 90.00
loop_
_atom_site_label
_atom_site_type_symbol
_atom_site_fract_x
_atom_site_fract_y
_atom_site_fract_z
In1 In 0.000 0.000 0.000
S1 S 0.500 0.500 0.500
N1 N 0.500 0.500 0.000
O1 O 0.000 0.500 0.500
```

=====

[2]
This record from the Alexandria database describes a relaxed BaNi2Cl crystal. The functional is PBE-GGA.

Properties
- E: -32.4 eV/cell
- Polymorph energy (0 for the lowest one): 0.0650 eV per atom
- Formation energy (no corrections): -0.220 eV/atom

Geometry as CIF:
```
data_BaNi2Cl
_chemical_formula_sum 'Ba2 Ni4 Cl2'
_space_group_name_H-M_alt 'C 1 2/m 1'
_space_group_IT_number 12
_cell_length_a 11.384
_cell_length_b 3.923
_cell_length_c 5.129
_cell_angle_alpha 90.00
_cell_angle_beta 114.50
_cell_angle_gamma 90.00
loop_
_space_group_symop_operation_xyz
'x,y,z'
'-x,-y,-z'
'-x,y,-z'
'x,-y,z'
'x+1/2,y+1/2,z'
'-x+1/2,-y+1/2,-z'
'-x+1/2,y+1/2,-z'
'x+1/2,-y+1/2,z'
loop_
_atom_site_label
_atom_site_type_symbol
_atom_site_fract_x
_atom_site_fract_y
_atom_site_fract_z
Ba1 Ba 0.000 0.000 0.000
Ni1 Ni 0.204 0.500 0.886
Cl1 Cl 0.000 0.500 0.500
```

=====

[3]
This record from the Alexandria database describes a relaxed Tl2RhAuCl crystal. The functional is PBE-GGA.

Properties
- E: -13.0 eV/cell
- Formation energy (no corrections): 0.837 eV/atom

Geometry as CIF:
```
data_Tl2RhAuCl
_chemical_formula_sum 'Tl2 Rh1 Au1 Cl1'
_space_group_name_H-M_alt 'P 4/m m m'
_space_group_IT_number 123
_space_group_name_Hall '-P 4 2'
_cell_length_a 5.720
_cell_length_b 5.720
_cell_length_c 4.708
_cell_angle_alpha 90.00
_cell_angle_beta 90.00
_cell_angle_gamma 90.00
loop_
_atom_site_label
_atom_site_type_symbol
_atom_site_fract_x
_atom_site_fract_y
_atom_site_fract_z
Tl1 Tl 0.000 0.500 0.000
Rh1 Rh 0.000 0.000 0.500
Au1 Au 0.500 0.500 0.500
Cl1 Cl 0.500 0.500 0.000
```

=====

[4]
This record from the Alexandria database describes a relaxed ZrZnCd2Pd crystal. The functional is PBE-GGA.

Properties
- E: -12.4 eV/cell
- Calculated formation energy: 0.884 eV/atom

Geometry as CIF:
```
data_ZrZnCd2Pd
_chemical_formula_sum 'Zr1 Zn1 Cd2 Pd1'
_space_group_name_H-M_alt 'P 4/m m m'
_space_group_IT_number 123
_space_group_name_Hall '-P 4 2'
_cell_length_a 5.723
_cell_length_b 5.723
_cell_length_c 4.943
_cell_angle_alpha 90.00
_cell_angle_beta 90.00
_cell_angle_gamma 90.00
loop_
_atom_site_label
_atom_site_type_symbol
_atom_site_fract_x
_atom_site_fract_y
_atom_site_fract_z
Zr1 Zr 0.000 0.000 0.000
Zn1 Zn 0.500 0.500 0.500
Cd1 Cd 0.000 0.500 0.000
Pd1 Pd 0.000 0.000 0.500
```

=====

[5]
This record from the Alexandria database describes a relaxed Tb4Tm5Pu crystal. The functional is PBE-GGA.

Properties
- E: -105.1 eV/cell
- Polymorph energy (0 for the lowest one): 0.2033 eV per atom
- Calculated formation energy: 0.268 eV/atom

Geometry as CIF:
```
data_Tb4Tm5Pu
_chemical_formula_sum 'Tb8 Tm10 Pu2'
_space_group_name_H-M_alt 'I 4 m m'
_space_group_IT_number 107
_space_group_name_Hall 'I 4 -2'
_cell_length_a 10.783
_cell_length_b 10.783
_cell_length_c 5.371
_cell_angle_alpha 90.00
_cell_angle_beta 90.00
_cell_angle_gamma 90.00
loop_
_atom_site_label
_atom_site_type_symbol
_atom_site_fract_x
_atom_site_fract_y
_atom_site_fract_z
Tb1 Tb 0.000 0.323 0.000
Tm1 Tm 0.000 0.000 0.005
Tm2 Tm 0.184 0.184 0.500
Pu1 Pu 0.000 0.000 0.506
```

=====

[6]
This record from the Alexandria database describes a relaxed TmHf2Se6 crystal. The functional is PBE-GGA.

Properties
- E: -112.9 eV/cell
- Formation energy (no corrections): -1.241 eV/atom

Geometry as CIF:
```
data_TmHf2Se6
_chemical_formula_sum 'Tm2 Hf4 Se12'
_space_group_name_H-M_alt 'P 42/m n m'
_space_group_IT_number 136
_space_group_name_Hall '-P 4n 2n'
_cell_length_a 6.452
_cell_length_b 6.452
_cell_length_c 11.862
_cell_angle_alpha 90.00
_cell_angle_beta 90.00
_cell_angle_gamma 90.00
loop_
_atom_site_label
_atom_site_type_symbol
_atom_site_fract_x
_atom_site_fract_y
_atom_site_fract_z
Tm1 Tm 0.000 0.000 0.000
Hf1 Hf 0.000 0.000 0.335
Se1 Se 0.193 0.193 0.500
Se2 Se 0.205 0.205 0.176
```

=====

Question: Which of these has the highest E?
Answer: ZrZnCd2Pd

=====

Question: Look up the E of the fourth one.
Answer: -12.4 eV/cell

=====

What did the sixth record say?
This record from the Alexandria database describes a relaxed TmHf2Se6 crystal. The functional is PBE-GGA.

Properties
- E: -112.9 eV/cell
- Formation energy (no corrections): -1.241 eV/atom

Geometry as CIF:
```
data_TmHf2Se6
_chemical_formula_sum 'Tm2 Hf4 Se12'
_space_group_name_H-M_alt 'P 42/m n m'
_space_group_IT_number 136
_space_group_name_Hall '-P 4n 2n'
_cell_length_a 6.452
_cell_length_b 6.452
_cell_length_c 11.862
_cell_angle_alpha 90.00
_cell_angle_beta 90.00
_cell_angle_gamma 90.00
loop_
_atom_site_label
_atom_site_type_symbol
_atom_site_fract_x
_atom_site_fract_y
_atom_site_fract_z
Tm1 Tm 0.000 0.000 0.000
Hf1 Hf 0.000 0.000 0.335
Se1 Se 0.193 0.193 0.500
Se2 Se 0.205 0.205 0.176
```